1.
A plane-wave DFT calculation with SCAN was carried out for Ni2PAu at its PBEsol-relaxed geometry.

extended XYZ file:
```
4
Lattice="-1.7947 1.7947 3.8872 1.7947 -1.7947 3.8872 1.7947 1.7947 -3.8872" Properties=species:S:1:pos:R:3 pbc="T T T"
Ni 0.0000 0.0000 0.0000
Ni 0.0000 1.7947 1.9436
P 0.0000 0.0000 3.8872
Au 1.7947 0.0000 1.9436
```

Properties
Final energy ... -111.280 eV for the cell shown
SG ... I-4m2
Formation enthalpy at 0 K ... 0.156 eV per atom

=====

2.
A plane-wave DFT calculation with SCAN was carried out for HfTi2InIr at its PBEsol-relaxed geometry.

extended XYZ file:
```
5
Lattice="4.5263 0.0000 0.0000 0.0000 4.5263 0.0000 0.0000 0.0000 5.1456" Properties=species:S:1:pos:R:3 pbc="T T T"
Hf 0.0000 0.0000 0.0000
Ti 0.0000 2.2632 0.0000
Ti 2.2632 0.0000 0.0000
In 0.0000 0.0000 2.5728
Ir 2.2632 2.2632 2.5728
```

Properties
Final energy ... -191.741 eV for the cell shown
SG ... P4/mmm
Formation enthalpy at 0 K ... 1.495 eV per atom

=====

3.
A plane-wave DFT calculation with SCAN was carried out for CaAgP2 at its PBEsol-relaxed geometry.

extended XYZ file:
```
4
Lattice="-1.6759 2.2932 4.7445 1.6759 -2.2932 4.7445 1.6759 2.2932 -4.7445" Properties=species:S:1:pos:R:3 pbc="T T T"
Ca 0.0000 0.0000 0.0000
Ag 0.0000 2.2932 1.9592
P 1.6759 0.0000 2.7431
P 0.0000 0.0000 4.4399
```

Properties
Final energy ... -62.936 eV for the cell shown
SG ... Imm2
Formation enthalpy at 0 K ... -0.277 eV per atom